Entry 1:
Computed, not measured: crystalline Mo2IrW at its relaxed geometry at the PBE level of DFT.

Structure (extended XYZ):
```
4
Lattice="0.000 3.154 3.154 3.154 0.000 3.154 3.154 3.154 0.000" Properties=species:S:1:pos:R:3 pbc="T T T"
Mo 0.000 0.000 0.000
Mo 1.577 1.577 1.577
Ir 4.731 4.731 4.731
W 3.154 3.154 3.154
```

Its space-group type is F-43m (216). The value obtained for the calculated volume is 63 Å³/f.u. As for the crystal system: cubic.

---

Entry 2:
Computed, not measured: crystalline MoIr2W at its relaxed geometry at the PBE level of DFT.

Structure (extended XYZ):
```
4
Lattice="2.777 0.000 0.000 0.000 2.777 0.000 0.000 0.000 7.954" Properties=species:S:1:pos:R:3 pbc="T T T"
Mo 0.000 0.000 0.000
Ir 0.000 0.000 4.045
Ir 1.389 1.389 6.100
W 1.389 1.389 2.181
```

Its space-group type is P4mm (99). The value obtained for the calculated volume is 61 Å³/f.u. As for the crystal system: tetragonal.

---

Entry 3:
Computed, not measured: crystalline MoIr2W at its relaxed geometry at the PBE level of DFT.

Structure (extended XYZ):
```
4
Lattice="2.765 0.000 0.000 0.000 3.934 0.000 0.000 0.000 5.557" Properties=species:S:1:pos:R:3 pbc="T T T"
Mo 0.000 0.000 0.000
Ir 1.383 1.967 1.385
Ir 1.383 1.967 4.171
W 0.000 0.000 2.778
```

Its space-group type is Pmmm (47). The value obtained for the calculated volume is 60 Å³/f.u. As for the crystal system: orthorhombic.

---

Entry 4:
Computed, not measured: crystalline Mo2IrW at its relaxed geometry at the PBE level of DFT.

Structure (extended XYZ):
```
4
Lattice="3.218 0.000 0.000 0.000 3.218 0.000 0.000 0.000 6.083" Properties=species:S:1:pos:R:3 pbc="T T T"
Mo 0.000 0.000 1.485
Mo 0.000 0.000 4.598
Ir 1.609 1.609 3.042
W 1.609 1.609 0.000
```

Its space-group type is P4/mmm (123). The value obtained for the calculated volume is 63 Å³/f.u. As for the crystal system: tetragonal.

---

Entry 5:
Computed, not measured: crystalline MoIr2W at its relaxed geometry at the PBE level of DFT.

Structure (extended XYZ):
```
4
Lattice="0.000 3.136 3.136 3.136 0.000 3.136 3.136 3.136 0.000" Properties=species:S:1:pos:R:3 pbc="T T T"
Mo 0.000 0.000 0.000
Ir 3.136 3.136 3.136
Ir 4.704 4.704 4.704
W 1.568 1.568 1.568
```

Its space-group type is F-43m (216). The value obtained for the calculated volume is 62 Å³/f.u. As for the crystal system: cubic.

---

Entry 6:
Computed, not measured: crystalline YMoIr2 at its relaxed geometry at the PBE level of DFT.

Structure (extended XYZ):
```
4
Lattice="2.916 0.000 0.000 0.000 3.973 0.000 0.000 0.000 6.224" Properties=species:S:1:pos:R:3 pbc="T T T"
Y 0.000 0.000 0.000
Mo 1.458 1.986 4.129
Ir 0.000 0.000 3.102
Ir 1.458 1.986 1.529
```

Its space-group type is Pmm2 (25). The value obtained for the calculated volume is 72 Å³/f.u. As for the crystal system: orthorhombic.

---

Entry 7:
Computed, not measured: crystalline Y2Mo2Ir at its relaxed geometry at the PBE level of DFT.

Structure (extended XYZ):
```
10
Lattice="5.011 0.000 0.000 -2.042 5.304 0.000 -1.415 -0.899 8.001" Properties=species:S:1:pos:R:3 pbc="T T T"
Y 0.010 0.793 1.538
Y -0.701 3.283 4.035
Y 2.255 1.121 3.966
Y 1.544 3.612 6.463
Mo -1.247 1.543 7.000
Mo 0.343 4.083 0.787
Mo 1.211 0.322 7.215
Mo 2.801 2.862 1.001
Ir -0.148 0.463 4.875
Ir 1.702 3.941 3.126
```

Its space-group type is P-1 (2). The value obtained for the calculated volume is 106 Å³/f.u. As for the crystal system: triclinic.

---

Entry 8:
Computed, not measured: crystalline YMo2Ir at its relaxed geometry at the PBE level of DFT.

Structure (extended XYZ):
```
4
Lattice="2.676 -4.677 0.000 2.676 4.677 0.000 0.000 0.000 2.842" Properties=species:S:1:pos:R:3 pbc="T T T"
Y 0.000 0.000 0.000
Mo 1.338 2.338 1.421
Mo 1.338 -2.338 1.421
Ir 2.676 0.000 0.000
```

Its space-group type is Cmmm (65). The value obtained for the calculated volume is 71 Å³/f.u. As for the crystal system: orthorhombic.

---

| no. | electronic total energy (eV per atom) | formation energy from the elements (meV/atom) | polymorph energy (0 for the lowest one) (eV per formula unit) |
| --- | --- | --- | --- |
| 1 | -10.70 | 167 | 0.70 |
| 2 | -10.48 | -103 | 0.84 |
| 3 | -10.67 | -289 | 0.10 |
| 4 | -10.75 | 120 | 0.51 |
| 5 | -10.22 | 154 | 1.87 |
| 6 | -8.78 | -23 | 1.25 |
| 7 | -8.80 | -112 | 0.54 |
| 8 | -8.94 | 310 | 1.28 |